ZrScNi: relaxed, PBE.

Cell: 4.4298 4.4298 4.4298 Å, 60.00 60.00 60.00°
Closest atoms and distances in Å follow each position.
Fractional coordinates of all 3 atoms:
Ni (0.7500, 0.7500, 0.7500)  4 Zr 2.71, 4 Sc 2.71
Sc (0.0000, 0.0000, 0.0000)  4 Ni 2.71
Zr (0.5000, 0.5000, 0.5000)  4 Ni 2.71

Computed properties:
Electronic total energy (eV/atom): -6.97
Fermi-level density of states (states/eV/cell): 4.09
V (Å³/cell): 61.5
Energy of formation from the pure elements (meV per atom): -83

---

ZrPdRh: relaxed, PBE.

Cell: 5.7283 4.0126 9.1371 Å, 90.00 105.27 90.00°
Closest atoms and distances in Å follow each position.
Fractional coordinates of all 12 atoms:
Rh (0.5000, 0.0000, 0.5000)  4 Zr 2.77, 2 Rh 2.86, 4 Pd 2.91
Rh (0.5000, 0.5000, 0.0000)  4 Zr 2.77, 2 Rh 2.86, 4 Pd 2.91
Rh (0.0000, 0.5000, 0.0000)  4 Zr 2.72, 6 Pd 2.85-2.94, 2 Rh 2.86
Rh (0.0000, 0.0000, 0.5000)  4 Zr 2.72, 6 Pd 2.85-2.94, 2 Rh 2.86
Zr (0.3007, 0.0000, 0.1370)  4 Rh 2.72-2.77, 5 Pd 2.78-2.90
Zr (0.6993, 0.0000, 0.8630)  4 Rh 2.72-2.77, 5 Pd 2.78-2.90
Zr (0.3007, 0.5000, 0.6370)  4 Rh 2.72-2.77, 5 Pd 2.78-2.90
Zr (0.6993, 0.5000, 0.3630)  4 Rh 2.72-2.77, 5 Pd 2.78-2.90
Pd (0.8196, 0.0000, 0.1777)  5 Zr 2.78-2.90, 5 Rh 2.85-2.94, 2 Pd 2.93
Pd (0.1804, 0.0000, 0.8223)  5 Zr 2.78-2.90, 5 Rh 2.85-2.94, 2 Pd 2.93
Pd (0.8196, 0.5000, 0.6777)  5 Zr 2.78-2.90, 5 Rh 2.85-2.94, 2 Pd 2.93
Pd (0.1804, 0.5000, 0.3223)  5 Zr 2.78-2.90, 5 Rh 2.85-2.94, 2 Pd 2.93

Computed properties:
Electronic total energy (eV/atom): -7.79
Fermi-level density of states (states/eV/cell): 6.02
V (Å³/cell): 202.6
Energy of formation from the pure elements (meV per atom): -758

---

Pr2Zn2AgPt5: relaxed, PBE.

Cell: 3.9000 9.7513 9.7513 Å, 90.00 90.00 90.00°
Closest atoms and distances in Å follow each position.
Fractional coordinates of all 20 atoms:
Pr (0.0000, 0.6792, 0.1792)  3 Zn 2.79-2.97
Pr (0.0000, 0.3208, 0.8208)  3 Zn 2.79-2.97
Pr (0.0000, 0.1792, 0.3208)  3 Zn 2.79-2.97
Pr (0.0000, 0.8208, 0.6792)  3 Zn 2.79-2.97
Zn (0.0000, 0.1188, 0.6188)  6 Pt 2.55-2.64, 1 Pr 2.79
Zn (0.0000, 0.8812, 0.3812)  6 Pt 2.55-2.64, 1 Pr 2.79
Zn (0.0000, 0.6188, 0.8812)  6 Pt 2.55-2.64, 1 Pr 2.79
Zn (0.0000, 0.3812, 0.1188)  6 Pt 2.55-2.64, 1 Pr 2.79
Ag (0.0000, 0.0000, 0.0000)  8 Pt 2.88
Ag (0.0000, 0.5000, 0.5000)  8 Pt 2.88
Pt (0.5000, 0.2074, 0.0638)  2 Zn 2.64, 2 Ag 2.88, 1 Pt 2.92
Pt (0.5000, 0.7926, 0.9362)  2 Zn 2.64, 2 Ag 2.88, 1 Pt 2.92
Pt (0.5000, 0.0638, 0.7926)  2 Zn 2.64, 2 Ag 2.88, 1 Pt 2.92
Pt (0.5000, 0.7074, 0.4362)  2 Zn 2.64, 2 Ag 2.88, 1 Pt 2.92
Pt (0.5000, 0.9362, 0.2074)  2 Zn 2.64, 2 Ag 2.88, 1 Pt 2.92
Pt (0.5000, 0.2926, 0.5638)  2 Zn 2.64, 2 Ag 2.88, 1 Pt 2.92
Pt (0.5000, 0.5638, 0.7074)  2 Zn 2.64, 2 Ag 2.88, 1 Pt 2.92
Pt (0.5000, 0.4362, 0.2926)  2 Zn 2.64, 2 Ag 2.88, 1 Pt 2.92
Pt (0.5000, 0.5000, 0.0000)  4 Zn 2.55
Pt (0.5000, 0.0000, 0.5000)  4 Zn 2.55

Computed properties:
Electronic total energy (eV/atom): -5.20
Fermi-level density of states (states/eV/cell): 5.09
V (Å³/cell): 370.8
Energy of formation from the pure elements (meV per atom): -679

---

What did the first record say?
ZrScNi: relaxed, PBE.

Cell: 4.4298 4.4298 4.4298 Å, 60.00 60.00 60.00°
Closest atoms and distances in Å follow each position.
Fractional coordinates of all 3 atoms:
Ni (0.7500, 0.7500, 0.7500)  4 Zr 2.71, 4 Sc 2.71
Sc (0.0000, 0.0000, 0.0000)  4 Ni 2.71
Zr (0.5000, 0.5000, 0.5000)  4 Ni 2.71

Computed properties:
Electronic total energy (eV/atom): -6.97
Fermi-level density of states (states/eV/cell): 4.09
V (Å³/cell): 61.5
Energy of formation from the pure elements (meV per atom): -83